[1]
A plane-wave DFT calculation with PBE-GGA was carried out for a relaxed MgNiI2 crystal.

a b c (Å): 6.1661 6.1661 12.2696
angles (deg): 90.00 90.00 90.00
Last column: nearest neighbours and their distance in Å.
Space group I-42d (No. 122)
Inequivalent atoms, fractional coordinates:
Mg 0.0000 0.0000 0.0000 x4  4 I 2.81
Ni 0.0000 0.0000 0.5000 x4  4 I 2.53
I 0.2104 0.2500 0.6250 x8  2 Ni 2.53, 2 Mg 2.81

The value obtained for the polymorph energy (0 for the lowest one) is 0.000 eV/atom. The crystal system is tetragonal. The value obtained for the formation energy (no corrections) is -174 meV/atom. The mass density is 4.8 g cm⁻³. For the density of states at the Fermi level, the calculation gives 0.060 states/eV per atom.

***

[2]
A plane-wave DFT calculation with PBE-GGA was carried out for a relaxed Cs3SiSe crystal.

a b c (Å): 6.9217 6.9217 6.9217
angles (deg): 90.00 90.00 90.00
Last column: nearest neighbours and their distance in Å.
Space group Pm-3m (No. 221)
Inequivalent atoms, fractional coordinates:
Cs 0.0000 0.0000 0.5000 x3  2 Se 3.46
Si 0.5000 0.5000 0.5000 x1  12 Cs 4.89
Se 0.0000 0.0000 0.0000 x1  6 Cs 3.46

The value obtained for the polymorph energy (0 for the lowest one) is 0.000 eV/atom. The crystal system is cubic. The value obtained for the formation energy (no corrections) is -133 meV/atom. The mass density is 2.5 g cm⁻³. For the density of states at the Fermi level, the calculation gives 0.000 states/eV per atom.

***

[3]
A plane-wave DFT calculation with PBE-GGA was carried out for a relaxed Er2HfAl crystal.

a b c (Å): 3.3687 3.3687 8.6402
angles (deg): 90.00 90.00 90.00
Last column: nearest neighbours and their distance in Å.
Space group P4/mmm (No. 123)
Inequivalent atoms, fractional coordinates:
Er 0.0000 0.0000 0.2337 x2  4 Al 3.12, 4 Hf 3.31, 4 Er 3.37
Hf 0.5000 0.5000 0.5000 x1  8 Er 3.31, 4 Hf 3.37
Al 0.5000 0.5000 0.0000 x1  8 Er 3.12, 4 Al 3.37

The value obtained for the polymorph energy (0 for the lowest one) is 0.000 eV/atom. The crystal system is tetragonal. The mass density is 9.1 g cm⁻³. For the density of states at the Fermi level, the calculation gives 0.631 states/eV per atom.

***

[4]
A plane-wave DFT calculation with PBE-GGA was carried out for a relaxed Nd2YCd4 crystal.

a b c (Å): 5.2952 5.2952 26.0948
angles (deg): 90.00 90.00 120.00
Last column: nearest neighbours and their distance in Å.
Space group R-3m (No. 166, hexagonal axes)
Inequivalent atoms, fractional coordinates:
Nd 0.0000 0.0000 0.2486 x6  8 Cd 3.22-3.35
Y 0.0000 0.0000 0.0000 x3  8 Cd 3.26-3.27
Cd 0.0000 0.0000 0.1253 x6  4 Nd 3.22-3.24, 1 Y 3.27
Cd 0.0000 0.0000 0.3768 x6  4 Nd 3.24-3.35, 3 Y 3.26

The value obtained for the polymorph energy (0 for the lowest one) is 0.000 eV/atom. The crystal system is trigonal. The mass density is 6.5 g cm⁻³. For the density of states at the Fermi level, the calculation gives 0.963 states/eV per atom.

***

[5]
A plane-wave DFT calculation with PBE-GGA was carried out for a relaxed NdPaTi2O8 crystal.

a b c (Å): 5.2077 5.2077 11.2600
angles (deg): 90.00 90.00 90.00
Last column: nearest neighbours and their distance in Å.
Space group I-4 (No. 82)
Inequivalent atoms, fractional coordinates:
Nd 0.0000 0.0000 0.0000 x2  8 O 2.41-2.48
Pa 0.0000 0.5000 0.7500 x2  8 O 2.27-2.36
Ti 0.0000 0.0000 0.5000 x2  4 O 1.86
Ti 0.0000 0.5000 0.2500 x2  4 O 1.86
O 0.1567 0.2562 0.5888 x8  1 Ti 1.86
O 0.1761 0.7605 0.1718 x8  1 Ti 1.86

The crystal system is tetragonal. The value obtained for the formation energy (no corrections) is -3310 meV/atom. The mass density is 6.5 g cm⁻³. For the density of states at the Fermi level, the calculation gives 0.000 states/eV per atom.

***

[6]
A plane-wave DFT calculation with PBE-GGA was carried out for a relaxed Mg3ZrBr crystal.

a b c (Å): 5.8911 5.8911 5.8911
angles (deg): 90.00 90.00 90.00
Last column: nearest neighbours and their distance in Å.
Space group Pm-3m (No. 221)
Inequivalent atoms, fractional coordinates:
Mg 0.0000 0.0000 0.5000 x3  2 Zr 2.95
Zr 0.0000 0.0000 0.0000 x1  6 Mg 2.95
Br 0.5000 0.5000 0.5000 x1  12 Mg 4.17

The value obtained for the polymorph energy (0 for the lowest one) is 0.365 eV/atom. The crystal system is cubic. The value obtained for the formation energy (no corrections) is 889 meV/atom. The mass density is 2.0 g cm⁻³. For the density of states at the Fermi level, the calculation gives 2.114 states/eV per atom.

***

[7]
A plane-wave DFT calculation with PBE-GGA was carried out for a relaxed LiTh2Co9 crystal.

a b c (Å): 4.9638 4.9638 24.3789
angles (deg): 90.00 90.00 120.00
Last column: nearest neighbours and their distance in Å.
Space group R-3m (No. 166, hexagonal axes)
Inequivalent atoms, fractional coordinates:
Li 0.0000 0.0000 0.0000 x3  18 Co 2.87-3.15
Th 0.0000 0.0000 0.1325 x6  9 Co 2.80-2.98
Co 0.0000 0.0000 0.3340 x6  6 Co 2.40-2.42
Co 0.0000 0.0000 0.5000 x3  6 Co 2.57
Co 0.9996 0.4998 0.0794 x18  7 Co 2.40-2.57

The crystal system is trigonal. The mass density is 9.6 g cm⁻³. As for the total energy: -0.248 Ha/atom. For the density of states at the Fermi level, the calculation gives 1.535 states/eV per atom.

***

[8]
A plane-wave DFT calculation with PBE-GGA was carried out for a relaxed Rb2La2Te2Se crystal.

a b c (Å): 5.7178 5.7178 18.3029
angles (deg): 90.00 90.00 90.00
Last column: nearest neighbours and their distance in Å.
Space group I4/mmm (No. 139)
Inequivalent atoms, fractional coordinates:
Rb 0.0000 0.0000 0.1875 x4  1 Se 3.43, 1 Te 3.70
La 0.0000 0.5000 0.0000 x4  2 Se 2.86
Te 0.0000 0.0000 0.3897 x4  4 La 3.50, 1 Rb 3.70
Se 0.0000 0.0000 0.0000 x2  4 La 2.86

The crystal system is tetragonal. The value obtained for the formation energy (no corrections) is -1251 meV/atom. The mass density is 4.3 g cm⁻³. For the density of states at the Fermi level, the calculation gives 0.702 states/eV per atom.

***

[9]
A plane-wave DFT calculation with PBE-GGA was carried out for a relaxed Na6TlIn2 crystal.

a b c (Å): 8.5104 9.5112 6.3661
angles (deg): 90.00 99.25 90.00
Last column: nearest neighbours and their distance in Å.
Space group C2/m (No. 12)
Inequivalent atoms, fractional coordinates:
Na 0.0000 0.1665 0.0000 x4  5 Na 3.16-3.26
Na 0.1668 0.3336 0.6665 x8  5 Na 3.16-3.26, 1 In 3.54
Tl 0.0000 0.0000 0.5000 x2  2 In 3.29, 12 Na 3.55-3.57
In 0.1633 0.5000 0.1629 x4  1 In 3.19, 1 Tl 3.29, 10 Na 3.54-3.57

The value obtained for the polymorph energy (0 for the lowest one) is 0.000 eV/atom. The crystal system is monoclinic. The mass density is 3.7 g cm⁻³. For the density of states at the Fermi level, the calculation gives 0.387 states/eV per atom.

***

[10]
A plane-wave DFT calculation with PBE-GGA was carried out for a relaxed IrOsBr2 crystal.

a b c (Å): 13.2206 3.0391 4.6823
angles (deg): 90.00 97.35 90.00
Last column: nearest neighbours and their distance in Å.
Space group C2/m (No. 12)
Inequivalent atoms, fractional coordinates:
Ir 0.0000 0.0000 0.0000 x2  2 Br 2.45
Os 0.0000 0.5000 0.5000 x2  4 Br 2.55, 4 Ir 2.79
Br 0.1443 0.0000 0.7198 x4  1 Ir 2.45, 2 Os 2.55

The value obtained for the polymorph energy (0 for the lowest one) is 0.465 eV/atom. The crystal system is monoclinic. The value obtained for the formation energy (no corrections) is 858 meV/atom. The mass density is 9.7 g cm⁻³. For the density of states at the Fermi level, the calculation gives 1.485 states/eV per atom.

***

Repeat the third record exactly.
A plane-wave DFT calculation with PBE-GGA was carried out for a relaxed Er2HfAl crystal.

a b c (Å): 3.3687 3.3687 8.6402
angles (deg): 90.00 90.00 90.00
Last column: nearest neighbours and their distance in Å.
Space group P4/mmm (No. 123)
Inequivalent atoms, fractional coordinates:
Er 0.0000 0.0000 0.2337 x2  4 Al 3.12, 4 Hf 3.31, 4 Er 3.37
Hf 0.5000 0.5000 0.5000 x1  8 Er 3.31, 4 Hf 3.37
Al 0.5000 0.5000 0.0000 x1  8 Er 3.12, 4 Al 3.37

The value obtained for the polymorph energy (0 for the lowest one) is 0.000 eV/atom. The crystal system is tetragonal. The mass density is 9.1 g cm⁻³. For the density of states at the Fermi level, the calculation gives 0.631 states/eV per atom.